## AlVPt2F (PBE+U)

Data for a relaxed structure of AlVPt2F.

Unit cell a=4.6034 b=4.6034 c=5.2099 alpha=90.00 beta=90.00 gamma=90.00
Sites, in units of the cell vectors:
Al 0.0000 0.0000 0.0000
V 0.0000 0.0000 0.5000
Pt 0.0000 0.5000 0.5000
Pt 0.5000 0.0000 0.5000
F 0.5000 0.5000 0.0000

Values from the calculation:
For the magnetization, the calculation gives 2.0 μB/f.u. The calculation puts the electronic total energy at -4.20 eV/atom.